VASP calculation (PBE with a Hubbard U) on a relaxed structure of Li3Cr2P3O12.

Calculated values
The value obtained for the magnetic moment is 5.99 μB per formula unit. The energy above the lowest structure with this stoichiometry comes out at 0 meV/atom.

a = 8.3815 Å, b = 8.3918 Å, c = 8.9505 Å
α = 62.10°, β = 89.95°, γ = 60.19°
With the nearest neighbours (Å) after each atom.
Space group P1 (No. 1)
Symmetry-distinct sites (fractional):
Li 0.0000 0.0000 0.0000 (multiplicity 1)  4 O 1.94-2.13
Li 0.0667 0.1166 0.2959 (multiplicity 1)  3 O 1.96-2.04
Li 0.2520 0.3459 0.9987 (multiplicity 1)  4 O 1.96-2.19
Li 0.4112 0.5354 0.2799 (multiplicity 1)  4 O 1.96-2.06
Li 0.5701 0.8470 0.7981 (multiplicity 1)  3 O 2.00-2.05
Li 0.6628 0.8648 0.2856 (multiplicity 1)  4 O 1.96-2.11
Cr 0.1839 0.2209 0.7127 (multiplicity 1)  6 O 1.96-2.06
Cr 0.4764 0.6439 0.5792 (multiplicity 1)  6 O 1.96-2.07
Cr 0.6789 0.2365 0.1915 (multiplicity 1)  6 O 1.99-2.05
Cr 0.9809 0.6317 0.1020 (multiplicity 1)  6 O 1.99-2.04
P 0.0809 0.7214 0.3957 (multiplicity 1)  4 O 1.51-1.59
P 0.2924 0.7200 0.8977 (multiplicity 1)  4 O 1.52-1.57
P 0.3727 0.1429 0.3949 (multiplicity 1)  4 O 1.53-1.58
P 0.5824 0.1429 0.8954 (multiplicity 1)  4 O 1.51-1.59
P 0.7964 0.4292 0.4004 (multiplicity 1)  4 O 1.52-1.57
P 0.8708 0.4351 0.8966 (multiplicity 1)  4 O 1.52-1.58
O 0.0764 0.3213 0.8795 (multiplicity 1)  1 P 1.55
O 0.1212 0.6877 0.2355 (multiplicity 1)  1 P 1.59
O 0.1358 0.5117 0.5631 (multiplicity 1)  1 P 1.51
O 0.1573 0.6387 0.9448 (multiplicity 1)  1 P 1.56
O 0.1747 0.3011 0.2428 (multiplicity 1)  1 P 1.58
O 0.2010 0.9401 0.8857 (multiplicity 1)  1 P 1.55
O 0.2099 0.7989 0.4141 (multiplicity 1)  1 P 1.56
O 0.3314 0.7460 0.7248 (multiplicity 1)  1 P 1.52
O 0.3449 0.1112 0.5734 (multiplicity 1)  1 P 1.53
O 0.4558 0.0666 0.8703 (multiplicity 1)  1 P 1.55
O 0.4645 0.9235 0.4066 (multiplicity 1)  1 P 1.55
O 0.4856 0.5577 0.0545 (multiplicity 1)  1 P 1.57
O 0.5014 0.2306 0.3447 (multiplicity 1)  1 P 1.55
O 0.5320 0.3515 0.7293 (multiplicity 1)  1 P 1.51
O 0.5412 0.1772 0.0550 (multiplicity 1)  1 P 1.59
O 0.5874 0.5476 0.4106 (multiplicity 1)  1 P 1.56
O 0.7109 0.5691 0.7250 (multiplicity 1)  1 P 1.52
O 0.7983 0.9600 0.9496 (multiplicity 1)  1 P 1.55
O 0.8146 0.6163 0.2591 (multiplicity 1)  1 P 1.57
O 0.8249 0.2731 0.3402 (multiplicity 1)  1 P 1.55
O 0.8399 0.5971 0.9503 (multiplicity 1)  1 P 1.55
O 0.8658 0.9056 0.3421 (multiplicity 1)  1 P 1.55
O 0.8683 0.2396 0.0499 (multiplicity 1)  1 P 1.58
O 0.9432 0.3016 0.5795 (multiplicity 1)  1 P 1.52